Entry 1:
# InIrOF2

Crystalline InIrOF2 at its relaxed geometry (PBE, Alexandria).

Cell lengths 4.255, 4.255, 4.276 Å; angles 90.00, 90.00, 90.00 degrees
Fractional positions:
In 0.000 0.000 0.000
Ir 0.500 0.500 0.500
O 0.000 0.000 0.500
F 0.000 0.500 0.000
F 0.500 0.000 0.000

The uncorrected formation energy comes out at -0.374 eV/atom. Its space group is P4/mmm (123). For the energy above the most stable polymorph in this dataset, the calculation gives 2.61 eV/f.u.

Entry 2:
# Ho2ErAgC

Crystalline Ho2ErAgC at its relaxed geometry (PBE, Alexandria).

Cell lengths 4.881, 4.881, 4.819 Å; angles 90.00, 90.00, 90.00 degrees
Fractional positions:
Ho 0.000 0.500 0.000
Ho 0.500 0.000 0.000
Er 0.000 0.000 0.500
Ag 0.500 0.500 0.500
C 0.000 0.000 0.000

Its space group is P4/mmm (123). As for the total DFT energy (no corrections): -0.3959 Ry per atom.

Entry 3:
# SmCrS4

Crystalline SmCrS4 at its relaxed geometry (PBE, Alexandria).

Cell lengths 7.097, 7.097, 5.874 Å; angles 108.41, 108.41, 109.15 degrees
Fractional positions:
Sm 0.132 0.868 0.750
Sm 0.868 0.132 0.250
Cr 0.496 0.504 0.250
Cr 0.504 0.496 0.750
S 0.163 0.288 0.800
S 0.243 0.555 0.432
S 0.288 0.163 0.300
S 0.445 0.757 0.068
S 0.555 0.243 0.932
S 0.712 0.837 0.700
S 0.757 0.445 0.568
S 0.837 0.712 0.200

The uncorrected formation energy comes out at -0.803 eV/atom. Its space group is C2/c (15).

Entry 4:
# Ac5Ce3Te8

Crystalline Ac5Ce3Te8 at its relaxed geometry (PBE, Alexandria).

Cell lengths 9.331, 9.331, 9.331 Å; angles 59.54, 59.54, 59.54 degrees
Fractional positions:
Ac 0.000 0.000 0.000
Ac 0.000 0.500 0.500
Ac 0.500 0.000 0.500
Ac 0.500 0.500 0.000
Ac 0.500 0.500 0.500
Ce 0.000 0.000 0.500
Ce 0.000 0.500 0.000
Ce 0.500 0.000 0.000
Te 0.240 0.750 0.750
Te 0.245 0.245 0.245
Te 0.250 0.250 0.760
Te 0.250 0.760 0.250
Te 0.750 0.240 0.750
Te 0.750 0.750 0.240
Te 0.755 0.755 0.755
Te 0.760 0.250 0.250

The uncorrected formation energy comes out at -1.435 eV/atom. Its space group is R-3m (166).

Entry 5:
# Ce4P6Rh7

Crystalline Ce4P6Rh7 at its relaxed geometry (PBE, Alexandria).

Cell lengths 7.196, 7.196, 7.196 Å; angles 109.47, 109.47, 109.47 degrees
Fractional positions:
Ce 0.000 0.000 0.500
Ce 0.000 0.500 0.000
Ce 0.500 0.000 0.000
Ce 0.500 0.500 0.500
P 0.000 0.320 0.320
P 0.000 0.680 0.680
P 0.320 0.000 0.320
P 0.320 0.320 0.000
P 0.680 0.000 0.680
P 0.680 0.680 0.000
Rh 0.000 0.000 0.000
Rh 0.250 0.500 0.750
Rh 0.250 0.750 0.500
Rh 0.500 0.250 0.750
Rh 0.500 0.750 0.250
Rh 0.750 0.250 0.500
Rh 0.750 0.500 0.250

Its space group is Im-3m (229). As for the total DFT energy (no corrections): -0.5394 Ry per atom.

Entry 6:
# Nd3Mg11

Crystalline Nd3Mg11 at its relaxed geometry (PBE, Alexandria).

Cell lengths 9.171, 9.171, 9.171 Å; angles 147.69, 113.77, 75.63 degrees
Fractional positions:
Nd 0.000 0.000 0.000
Nd 0.287 0.287 0.000
Nd 0.713 0.713 0.000
Mg 0.013 0.654 0.358
Mg 0.146 0.859 0.287
Mg 0.296 0.654 0.642
Mg 0.335 0.500 0.835
Mg 0.428 0.141 0.287
Mg 0.500 0.000 0.500
Mg 0.572 0.859 0.713
Mg 0.665 0.500 0.165
Mg 0.704 0.346 0.358
Mg 0.854 0.141 0.713
Mg 0.987 0.346 0.642

Its space group is Immm (71). As for the total DFT energy (no corrections): -0.1697 Ry per atom.

Entry 7:
# BaGa2SbSe6

Crystalline BaGa2SbSe6 at its relaxed geometry (PBE, Alexandria).

Cell lengths 8.982, 8.982, 7.965 Å; angles 105.99, 105.99, 77.27 degrees
Fractional positions:
Ba 0.192 0.808 0.750
Ba 0.808 0.192 0.250
Ga 0.217 0.359 0.802
Ga 0.359 0.217 0.302
Ga 0.641 0.783 0.698
Ga 0.783 0.641 0.198
Sb 0.239 0.761 0.250
Sb 0.761 0.239 0.750
Se 0.034 0.168 0.651
Se 0.046 0.601 0.914
Se 0.168 0.034 0.151
Se 0.315 0.421 0.573
Se 0.399 0.954 0.586
Se 0.421 0.315 0.073
Se 0.579 0.685 0.927
Se 0.601 0.046 0.414
Se 0.685 0.579 0.427
Se 0.832 0.966 0.849
Se 0.954 0.399 0.086
Se 0.966 0.832 0.349

The uncorrected formation energy comes out at -0.647 eV/atom. Its space group is C2/c (15).

Entry 8:
# Ca4Pm2Sb3H2

Crystalline Ca4Pm2Sb3H2 at its relaxed geometry (PBE, Alexandria).

Cell lengths 12.989, 12.989, 12.989 Å; angles 159.05, 159.05, 29.80 degrees
Fractional positions:
Ca 0.082 0.582 0.500
Ca 0.418 0.918 0.500
Ca 0.582 0.082 0.500
Ca 0.918 0.418 0.500
Pm 0.201 0.201 0.000
Pm 0.799 0.799 0.000
Sb 0.327 0.327 0.000
Sb 0.500 0.500 0.000
Sb 0.673 0.673 0.000
H 0.102 0.102 0.000
H 0.898 0.898 0.000

Its space group is I4/mmm (139). As for the total DFT energy (no corrections): -0.3048 Ry per atom.

Entry 9:
# Na4NbSe4

Crystalline Na4NbSe4 at its relaxed geometry (PBE, Alexandria).

Cell lengths 7.673, 7.673, 7.673 Å; angles 125.65, 125.65, 80.46 degrees
Fractional positions:
Na 0.000 0.500 0.500
Na 0.198 0.198 0.000
Na 0.500 0.000 0.500
Na 0.802 0.802 0.000
Nb 0.500 0.500 0.000
Se 0.172 0.586 0.000
Se 0.414 0.414 0.586
Se 0.586 0.172 0.000
Se 0.828 0.828 0.414

The uncorrected formation energy comes out at -0.905 eV/atom. Its space group is I-42m (121).

Entry 10:
# Ba2TaAu

Crystalline Ba2TaAu at its relaxed geometry (PBE, Alexandria).

Cell lengths 4.620, 6.552, 6.552 Å; angles 46.57, 90.00, 90.00 degrees
Fractional positions:
Ba 0.000 0.000 0.000
Ba 0.500 0.298 0.298
Ta 0.000 0.693 0.693
Au 0.500 0.593 0.593

Its space group is Amm2 (38). For the energy above the most stable polymorph in this dataset, the calculation gives 0.65 eV/f.u.

Entry 11:
# PmPuCdPd

Crystalline PmPuCdPd at its relaxed geometry (PBE, Alexandria).

Cell lengths 5.218, 5.218, 5.218 Å; angles 60.00, 60.00, 60.00 degrees
Fractional positions:
Pm 0.000 0.000 0.000
Pu 0.500 0.500 0.500
Cd 0.750 0.750 0.750
Pd 0.250 0.250 0.250

Its space group is F-43m (216). As for the total DFT energy (no corrections): -0.4828 Ry per atom.

Entry 12:
# Ag2BiHAu

Crystalline Ag2BiHAu at its relaxed geometry (PBE, Alexandria).

Cell lengths 5.046, 5.046, 3.563 Å; angles 90.00, 90.00, 90.00 degrees
Fractional positions:
Ag 0.000 0.500 0.000
Ag 0.500 0.000 0.000
Bi 0.000 0.000 0.500
H 0.500 0.500 0.000
Au 0.500 0.500 0.500

Its space group is P4/mmm (123). As for the total DFT energy (no corrections): -0.2249 Ry per atom.

no.,theoretical density (g/cm³)
1,7.74
2,8.93
3,4.68
4,7.53
5,8.49
6,3.14
7,4.94
8,4.85
9,2.89
10,7.52
11,10.05
12,11.40